Record 1
# La2BeFe

Crystalline La2BeFe at its relaxed geometry (PBE, Alexandria via LeMat-Bulk).

Properties
The uncorrected energy comes out at -5.325 eV per atom. The formation energy is 0.186 eV/atom. As for the space-group type: P4mm (99).

Cell lengths 3.315, 3.315, 8.031 Å; angles 90.00, 90.00, 90.01 degrees
Each line ends with the local moment (μB).
Atoms (fractional coordinates):
Be  0.000  0.000  0.584  -0.04
Fe  0.500  0.500  0.638  0.92
La  0.000  0.000  0.926  -0.10
La  0.500  0.500  0.352  -0.06

***

Record 2
# CaAcLaHo

Crystalline CaAcLaHo at its relaxed geometry (PBE, Alexandria via LeMat-Bulk).

Properties
The uncorrected energy comes out at -3.833 eV per atom. The formation energy is 0.071 eV/atom. As for the space-group type: P3m1 (156).

Cell lengths 3.788, 3.788, 12.394 Å; angles 90.00, 90.00, 120.00 degrees
Atoms (fractional coordinates):
Ca  0.000  0.000  0.436
Ac  0.667  0.333  0.169
La  0.333  0.667  0.913
Ho  0.667  0.333  0.681

***

Record 3
# BaAl2

Crystalline BaAl2 at its relaxed geometry (PBE, Alexandria via LeMat-Bulk).

Properties
The uncorrected energy comes out at -3.146 eV per atom. The formation energy is -0.010 eV/atom. As for the space-group type: Cmcm (63).

Cell lengths 7.187, 7.187, 4.633 Å; angles 90.00, 90.00, 124.72 degrees
Atoms (fractional coordinates):
Ba  0.148  0.852  0.750
Ba  0.852  0.148  0.250
Al  0.441  0.559  0.750
Al  0.559  0.441  0.250
Al  0.658  0.342  0.750
Al  0.342  0.658  0.250

***

Record 4
# LiHfGeAu

Crystalline LiHfGeAu at its relaxed geometry (PBE, Alexandria via LeMat-Bulk).

Properties
The uncorrected energy comes out at -5.405 eV per atom. The formation energy is -0.464 eV/atom. As for the space-group type: F-43m (216).

Cell lengths 4.646, 4.646, 4.646 Å; angles 60.00, 60.00, 60.00 degrees
Atoms (fractional coordinates):
Hf  0.000  0.000  0.000
Ge  0.250  0.250  0.250
Au  0.750  0.750  0.750
Li  0.500  0.500  0.500

***

Record 5
# TbPmSmZn

Crystalline TbPmSmZn at its relaxed geometry (PBE, Alexandria via LeMat-Bulk).

Properties
The uncorrected energy comes out at -4.002 eV per atom. The formation energy is -0.159 eV/atom. As for the space-group type: P4mm (99).

Cell lengths 3.622, 3.622, 8.736 Å; angles 90.00, 90.00, 90.00 degrees
Atoms (fractional coordinates):
Tb  0.500  0.500  0.367
Pm  0.000  0.000  0.075
Sm  0.500  0.500  0.777
Zn  0.000  0.000  0.565

***

Record 6
# HfTa5

Crystalline HfTa5 at its relaxed geometry (PBE, Alexandria via LeMat-Bulk).

Properties
The uncorrected energy comes out at -11.473 eV per atom. The formation energy is 0.063 eV/atom. As for the space-group type: Cmmm (65).

Cell lengths 4.742, 4.736, 5.560 Å; angles 90.00, 64.76, 90.00 degrees
Atoms (fractional coordinates):
Hf  0.000  0.500  0.500
Ta  0.500  0.000  0.500
Ta  0.827  0.000  0.846
Ta  0.173  0.000  0.154
Ta  0.327  0.500  0.846
Ta  0.673  0.500  0.154

***

Record 7
# LiCuCl2

Crystalline LiCuCl2 at its relaxed geometry (PBE, Alexandria via LeMat-Bulk).

Properties
The uncorrected energy comes out at -3.362 eV per atom. As for the space-group type: Pmmm (47). The calculation puts the uncorrected formation energy at -0.94 eV/atom.

Cell lengths 3.447, 7.619, 3.408 Å; angles 90.00, 90.00, 90.00 degrees
Atoms (fractional coordinates):
Cl  0.000  0.000  0.000
Cl  0.500  0.500  0.000
Cu  0.500  0.000  0.500
Li  0.000  0.500  0.500

***

Record 8
# TiPt3N

Crystalline TiPt3N at its relaxed geometry (PBE, Alexandria via LeMat-Bulk).

Properties
The uncorrected energy comes out at -6.607 eV per atom. As for the space-group type: Pm-3m (221). The calculation puts the uncorrected formation energy at 0.26 eV/atom.

Cell lengths 4.204, 4.204, 4.204 Å; angles 90.00, 90.00, 90.00 degrees
Atoms (fractional coordinates):
N  0.000  0.000  0.000
Pt  0.000  0.500  0.000
Pt  0.000  0.000  0.500
Pt  0.500  0.000  0.000
Ti  0.500  0.500  0.500

***

Look up the uncorrected energy of the fifth one. -4.002 eV per atom